MgMoO9: relaxed, PBE+U.

a b c (Å): 5.7228 6.5023 11.0137
angles (deg): 79.23 87.08 85.34
Last column: magnetic moment on the atom in μB.
Atoms (fractional coordinates):
O 0.2596 0.6608 0.3873  0.06
O 0.7539 0.6100 0.3789  0.06
O 0.9839 0.1958 0.8514  0.07
O 0.5873 0.9395 0.9912  0.72
O 0.4337 0.2008 0.3918  0.79
O 0.5663 0.7992 0.6082  0.79
O 0.5981 0.7907 0.7188  0.82
O 0.2484 0.5653 0.9205  0.84
O 0.7516 0.4347 0.0795  0.84
O 0.0161 0.8042 0.1486  0.07
O 0.4127 0.0605 0.0088  0.72
O 0.8813 0.2743 0.1108  0.74
O 0.7404 0.3392 0.6127  0.06
O 0.2461 0.3900 0.6211  0.06
O 0.1187 0.7257 0.8892  0.74
O 0.4019 0.2093 0.2812  0.82
O 0.0759 0.9784 0.6447  0.04
O 0.9241 0.0216 0.3553  0.04
Mo 0.0119 0.2265 0.6801  -0.03
Mo 0.9881 0.7735 0.3199  -0.03
Mg 0.0000 0.0000 0.0000  0.00
Mg 0.5000 0.5000 0.5000  0.00

Calculated values
Uncorrected energy: -5.7987 eV/atom
Symmetry: No. 2